Material: InTeRu2
Method: DFT, PBE
State: optimized geometry

Structure (POSCAR):
```
InTeRu2
1.0
-3.8007 -1.0631 -2.5547
-0.3911 -4.2477 -1.9762
-3.1522 -3.0762 1.6440
Te Ru In
1 2 1
Cartesian
-5.5080 -6.2902 -2.1652 Te
0.0000 0.0000 0.0000 Ru
-1.8360 -2.0967 -0.7217 Ru
-3.6720 -4.1935 -1.4435 In
```

Density (kg/m³): 10047
Energy relative to the elements, uncorrected (eV per atom): 0.67


Material: Pm2Ga3SnIr4
Method: DFT, PBE
State: optimized geometry

Structure (POSCAR):
```
Pm2Ga3SnIr4
1.0
-3.6234 2.3447 0.4080
-1.8951 -3.2921 2.0889
3.4585 3.7660 9.0730
Ir Pm Ga Sn
4 2 3 1
Cartesian
0.2953 -0.2927 4.3049 Ir
-2.7593 -0.4737 1.2484 Ir
0.4039 3.5850 6.0165 Ir
0.0000 0.0000 0.0000 Ir
-1.0167 2.0380 2.2896 Pm
1.7159 1.2542 8.0319 Pm
1.2242 4.4781 8.1684 Ga
1.7292 1.8830 4.5365 Ga
-0.5250 -1.1859 2.1530 Ga
-1.0300 1.4093 5.7849 Sn
```

Density (kg/m³): 11766
Energy relative to the elements (eV/atom): -0.667


Material: LiAsW
Method: DFT, PBE
State: optimized geometry

Structure (POSCAR):
```
LiAsW
1.0
4.8259 0.0105 -0.0003
2.7173 3.9882 0.0003
-3.7715 -1.9996 2.2511
W As Li
1 1 1
Cartesian
4.9761 2.6379 0.0000 W
7.5235 3.9882 0.0000 As
2.5868 1.3713 0.0000 Li
```

Density (kg/m³): 10198
Energy relative to the elements (eV/atom): 0.168


Material: PtW4Au
Method: DFT, PBE
State: optimized geometry

Structure (POSCAR):
```
PtW4Au
1.0
0.0000 3.7177 3.7177
3.7177 0.0000 3.7177
3.7177 3.7177 0.0000
W Au Pt
4 1 1
Cartesian
4.6412 4.6412 2.7942 W
4.6412 2.7942 4.6412 W
2.7942 4.6412 4.6412 W
2.7942 2.7942 2.7942 W
5.5765 5.5765 5.5765 Au
0.0000 0.0000 0.0000 Pt
```

Density (kg/m³): 18217
Energy relative to the elements (eV/atom): 0.507


Material: TmZnInCu
Method: DFT, PBE
State: optimized geometry

Structure (POSCAR):
```
TmZnInCu
1.0
-1.0783 3.2679 3.2403
-4.1316 -0.2117 2.2861
-0.1097 -1.1600 4.5808
Zn Cu In Tm
1 1 1 1
Cartesian
-3.9897 1.4222 7.5803 Zn
-1.3299 0.4741 2.5268 Cu
-2.6598 0.9481 5.0536 In
0.0000 0.0000 0.0000 Tm
```

Density (kg/m³): 9178
Energy relative to the elements (eV/atom): -0.293


Material: AlSb2Te
Method: DFT, PBE
State: optimized geometry

Structure (POSCAR):
```
AlSb2Te
1.0
6.1977 0.0000 0.0000
0.0000 6.1977 0.0000
3.0988 3.0988 7.4730
Sb Te Al
4 2 2
Cartesian
1.8094 4.6483 1.8683 Sb
4.6483 4.9082 5.6048 Sb
4.3883 1.5494 1.8683 Sb
7.7471 7.4872 5.6048 Sb
6.1977 3.0988 3.7365 Te
0.0000 0.0000 0.0000 Te
3.0988 3.0988 0.0000 Al
3.0988 6.1977 3.7365 Al
```

Density (kg/m³): 4606
Energy relative to the elements, uncorrected (eV per atom): 0.24


Material: Ag2AsCl4
Method: DFT, PBE
State: optimized geometry

Structure (POSCAR):
```
Ag2AsCl4
1.0
-1.1216 -0.8253 6.6203
-5.9468 -2.9193 -1.3714
5.2485 -1.5555 -2.7614
Cl Ag As
4 2 1
Cartesian
-0.3751 -3.7975 1.2215 Cl
-4.4701 -2.9877 0.5684 Cl
-2.0154 -1.9225 4.6340 Cl
3.2208 -1.8925 -1.4487 Cl
-2.1163 -3.1736 -0.7542 Ag
0.2963 -2.1266 3.2417 Ag
-3.5342 -1.8723 2.6245 As
```

Density (kg/m³): 4091
Energy relative to the elements, uncorrected (eV per atom): -0.31


Material: LiPRh
Method: DFT, PBE
State: optimized geometry

Structure (POSCAR):
```
LiPRh
1.0
3.8201 0.0000 0.0000
1.9101 3.3083 0.0000
1.9101 1.1028 3.1191
Li Rh P
1 1 1
Cartesian
5.7302 3.3083 2.3393 Li
3.8201 2.2055 1.5596 Rh
0.0000 0.0000 0.0000 P
```

Density (kg/m³): 5932
Energy relative to the elements (eV/atom): -0.035